DFT (PBE-GGA) results for a relaxed structure of CoTc2PdS.

Computed properties:
The total magnetic moment comes out at 1.72 μB/f.u. The calculation puts the energy relative to the elements, uncorrected at 462.1 meV per atom. The volume is 76.76 Å³/f.u.

Cell lengths 4.342, 4.342, 4.071 Å; angles 90.00, 90.00, 90.00 degrees
Element x y z (fractional)
1 Co 0.000 0.000 0.000
2 Tc 0.000 0.500 0.500
3 Tc 0.500 0.000 0.500
4 Pd 0.500 0.500 0.000
5 S 0.000 0.000 0.500



DFT (PBE-GGA) results for a relaxed structure of Ca3AcPr3.

Computed properties:
The total magnetic moment comes out at 0.00 μB/f.u. For the energy of formation from the pure elements, the calculation gives 163 meV/atom. The volume is 286.54 Å³/f.u.

Cell lengths 6.482, 6.487, 16.169 Å; angles 90.02, 101.52, 119.96 degrees
Element x y z (fractional)
1 Ca 0.069 0.368 0.104
2 Ca 0.264 0.298 0.895
3 Ca 0.403 0.035 0.105
4 Ca 0.597 0.965 0.895
5 Ca 0.736 0.702 0.105
6 Ca 0.931 0.632 0.896
7 Ac 0.333 0.167 0.500
8 Ac 0.667 0.833 0.500
9 Pr 0.130 0.897 0.695
10 Pr 0.202 0.767 0.305
11 Pr 0.463 0.565 0.695
12 Pr 0.537 0.435 0.305
13 Pr 0.798 0.233 0.695
14 Pr 0.870 0.103 0.305



DFT (PBE-GGA) results for a relaxed structure of Dy4SnHg3.

Computed properties:
The total magnetic moment comes out at 0.01 μB/f.u. For the energy of formation from the pure elements, the calculation gives -530 meV/atom. The volume is 207.63 Å³/f.u.

Cell lengths 5.281, 5.281, 7.445 Å; angles 90.00, 90.00, 90.00 degrees
Element x y z (fractional)
1 Dy 0.000 0.500 0.248
2 Dy 0.000 0.500 0.752
3 Dy 0.500 0.000 0.248
4 Dy 0.500 0.000 0.752
5 Sn 0.000 0.000 0.500
6 Hg 0.000 0.000 0.000
7 Hg 0.500 0.500 0.000
8 Hg 0.500 0.500 0.500